Arrangement 1

Material: PrNd3Dy2
Method: DFT, PBE
State: optimized geometry

Lattice parameters (Å, degrees): 3.509 6.033 10.482 106.73 99.63 90.00
Sites, in units of the cell vectors:
Pr: 0.000 0.000 0.000
Nd: 0.000 0.500 0.000
Nd: 0.809 0.809 0.618
Nd: 0.191 0.191 0.382
Dy: 0.638 0.638 0.277
Dy: 0.362 0.362 0.723

SG = Immm, No. 71

Arrangement 2

Material: PrNd3Dy2
Method: DFT, PBE
State: optimized geometry

Lattice parameters (Å, degrees): 7.277 6.303 12.074 110.35 90.00 125.26
Sites, in units of the cell vectors:
Pr: 0.125 0.000 0.250
Pr: 0.875 0.000 0.750
Nd: 0.375 0.000 0.750
Nd: 0.625 0.000 0.250
Nd: 0.958 0.667 0.917
Nd: 0.292 0.333 0.583
Nd: 0.708 0.667 0.417
Nd: 0.042 0.333 0.083
Dy: 0.209 0.668 0.418
Dy: 0.459 0.668 0.918
Dy: 0.541 0.332 0.082
Dy: 0.791 0.332 0.582

SG = C2/c, No. 15

Which of them is least stable? Easy: arrangement 1.

Arrangement 1

Material: Pr12NdDy6
Method: DFT, PBE
State: optimized geometry

Lattice parameters (Å, degrees): 8.755 8.755 8.755 88.89 88.89 88.89
Sites, in units of the cell vectors:
Pr: 0.782 0.535 0.433
Pr: 0.433 0.782 0.535
Pr: 0.535 0.433 0.782
Pr: 0.218 0.465 0.567
Pr: 0.567 0.218 0.465
Pr: 0.465 0.567 0.218
Pr: 0.018 0.195 0.363
Pr: 0.805 0.637 0.982
Pr: 0.637 0.982 0.805
Pr: 0.982 0.805 0.637
Pr: 0.195 0.363 0.018
Pr: 0.363 0.018 0.195
Nd: 0.000 0.000 0.000
Dy: 0.742 0.900 0.298
Dy: 0.702 0.258 0.100
Dy: 0.100 0.702 0.258
Dy: 0.258 0.100 0.702
Dy: 0.298 0.742 0.900
Dy: 0.900 0.298 0.742

SG = R-3, No. 148

Arrangement 2

Material: Pr12NdDy6
Method: DFT, PBE
State: optimized geometry

Lattice parameters (Å, degrees): 8.931 8.931 8.931 99.37 99.37 99.37
Sites, in units of the cell vectors:
Pr: 0.759 0.241 0.500
Pr: 0.353 0.083 0.353
Pr: 0.353 0.353 0.083
Pr: 0.917 0.647 0.647
Pr: 0.647 0.647 0.917
Pr: 0.647 0.917 0.647
Pr: 0.500 0.759 0.241
Pr: 0.241 0.500 0.759
Pr: 0.241 0.759 0.500
Pr: 0.500 0.241 0.759
Pr: 0.759 0.500 0.241
Pr: 0.083 0.353 0.353
Nd: 0.000 0.000 0.000
Dy: 0.903 0.336 0.903
Dy: 0.903 0.903 0.336
Dy: 0.336 0.903 0.903
Dy: 0.097 0.097 0.664
Dy: 0.097 0.664 0.097
Dy: 0.664 0.097 0.097

SG = R-3m, No. 166

Which of them is least stable? Easy: arrangement 2.

Arrangement 1

Material: Pr5NdDy3
Method: DFT, PBE
State: optimized geometry

Lattice parameters (Å, degrees): 8.469 8.469 13.474 60.32 60.32 89.39
Sites, in units of the cell vectors:
Pr: 0.748 0.247 0.355
Pr: 0.254 0.746 0.000
Pr: 0.666 0.666 0.082
Pr: 0.325 0.325 0.417
Pr: 0.675 0.675 0.583
Pr: 0.334 0.334 0.918
Pr: 0.247 0.748 0.355
Pr: 0.746 0.254 0.000
Pr: 0.252 0.753 0.645
Pr: 0.753 0.252 0.645
Nd: 0.996 0.996 0.769
Nd: 0.004 0.004 0.231
Dy: 0.676 0.676 0.824
Dy: 0.667 0.667 0.341
Dy: 0.000 0.000 0.000
Dy: 0.000 0.000 0.500
Dy: 0.324 0.324 0.176
Dy: 0.333 0.333 0.659

SG = C2/m, No. 12

Arrangement 2

Material: Pr5NdDy3
Method: DFT, PBE
State: optimized geometry

Lattice parameters (Å, degrees): 6.311 11.175 11.683 124.08 90.00 106.40
Sites, in units of the cell vectors:
Pr: 0.399 0.000 0.750
Pr: 0.631 0.641 0.977
Pr: 0.823 0.283 0.126
Pr: 0.369 0.359 0.023
Pr: 0.541 0.717 0.374
Pr: 0.601 0.000 0.250
Pr: 0.010 0.641 0.477
Pr: 0.990 0.359 0.523
Pr: 0.459 0.283 0.626
Pr: 0.177 0.717 0.874
Nd: 0.882 0.000 0.750
Nd: 0.118 0.000 0.250
Dy: 0.000 0.000 0.000
Dy: 0.403 0.353 0.325
Dy: 0.000 0.000 0.500
Dy: 0.597 0.647 0.675
Dy: 0.950 0.353 0.825
Dy: 0.050 0.647 0.175

SG = C2/c, No. 15

Which of them is least stable? Easy: arrangement 1.

Arrangement 1

Material: Pr5NdDy5
Method: DFT, PBE
State: optimized geometry

Lattice parameters (Å, degrees): 6.185 6.185 11.833 90.00 90.00 120.00
Sites, in units of the cell vectors:
Pr: 0.667 0.333 0.156
Pr: 0.667 0.333 0.844
Pr: 0.333 0.667 0.320
Pr: 0.333 0.667 0.680
Pr: 0.000 0.000 0.000
Nd: 0.333 0.667 0.000
Dy: 0.333 0.167 0.500
Dy: 0.000 0.000 0.266
Dy: 0.833 0.667 0.500
Dy: 0.833 0.167 0.500
Dy: 0.000 0.000 0.734

SG = P-6m2, No. 187

Arrangement 2

Material: Pr5NdDy5
Method: DFT, PBE
State: optimized geometry

Lattice parameters (Å, degrees): 6.067 10.029 7.086 110.57 90.00 107.61
Site moments in Bohr magnetons follow the coordinates.
Sites, in units of the cell vectors:
Pr: 0.824 0.648 0.068  0.00
Pr: 0.824 0.649 0.580  0.00
Pr: 0.500 0.000 0.000  0.13
Pr: 0.176 0.351 0.420  0.00
Pr: 0.176 0.352 0.932  0.00
Nd: 0.000 0.000 0.000  0.13
Dy: 0.670 0.340 0.171  0.01
Dy: 0.623 0.246 0.624  0.00
Dy: 0.000 0.000 0.500  0.00
Dy: 0.377 0.754 0.376  0.00
Dy: 0.330 0.660 0.829  0.01

SG = C2/m, No. 12

Which of them is least stable? Easy: arrangement 1.

Arrangement 1

Material: PrNd3Dy4
Method: DFT, PBE
State: optimized geometry

Lattice parameters (Å, degrees): 6.327 7.339 11.637 90.00 90.00 90.00
Sites, in units of the cell vectors:
Pr: 0.147 0.372 0.000
Pr: 0.647 0.628 0.500
Nd: 0.647 0.628 0.000
Nd: 0.982 0.628 0.250
Nd: 0.482 0.372 0.250
Nd: 0.147 0.372 0.500
Nd: 0.482 0.372 0.750
Nd: 0.982 0.628 0.750
Dy: 0.148 0.879 0.000
Dy: 0.648 0.121 0.000
Dy: 0.981 0.121 0.250
Dy: 0.481 0.879 0.250
Dy: 0.148 0.879 0.500
Dy: 0.648 0.121 0.500
Dy: 0.481 0.879 0.750
Dy: 0.981 0.121 0.750

SG = Pmn2_1, No. 31

Arrangement 2

Material: PrNd3Dy4
Method: DFT, PBE
State: optimized geometry

Lattice parameters (Å, degrees): 3.473 9.012 9.012 81.32 78.89 78.89
Sites, in units of the cell vectors:
Pr: 0.500 0.000 0.000
Nd: 0.758 0.242 0.242
Nd: 0.242 0.758 0.758
Nd: 0.000 0.500 0.500
Dy: 0.635 0.115 0.616
Dy: 0.365 0.885 0.384
Dy: 0.365 0.384 0.885
Dy: 0.635 0.616 0.115

SG = Immm, No. 71

Which of them is least stable? Easy: arrangement 2.

Arrangement 1

Material: PrNd6Dy12
Method: DFT, PBE
State: optimized geometry

Lattice parameters (Å, degrees): 8.777 8.777 8.777 98.75 98.75 98.75
Sites, in units of the cell vectors:
Pr: 0.000 0.000 0.000
Nd: 0.901 0.345 0.901
Nd: 0.901 0.901 0.345
Nd: 0.345 0.901 0.901
Nd: 0.099 0.099 0.655
Nd: 0.099 0.655 0.099
Nd: 0.655 0.099 0.099
Dy: 0.757 0.243 0.500
Dy: 0.356 0.081 0.356
Dy: 0.356 0.356 0.081
Dy: 0.919 0.644 0.644
Dy: 0.644 0.644 0.919
Dy: 0.644 0.919 0.644
Dy: 0.500 0.757 0.243
Dy: 0.243 0.500 0.757
Dy: 0.243 0.757 0.500
Dy: 0.500 0.243 0.757
Dy: 0.757 0.500 0.243
Dy: 0.081 0.356 0.356

SG = R-3m, No. 166

Arrangement 2

Material: PrNd6Dy12
Method: DFT, PBE
State: optimized geometry

Lattice parameters (Å, degrees): 8.706 8.706 8.706 79.65 79.65 79.65
Sites, in units of the cell vectors:
Pr: 0.000 0.000 0.000
Nd: 0.769 0.769 0.165
Nd: 0.835 0.231 0.231
Nd: 0.231 0.835 0.231
Nd: 0.231 0.231 0.835
Nd: 0.165 0.769 0.769
Nd: 0.769 0.165 0.769
Dy: 0.803 0.485 0.485
Dy: 0.485 0.803 0.485
Dy: 0.485 0.485 0.803
Dy: 0.197 0.515 0.515
Dy: 0.515 0.197 0.515
Dy: 0.515 0.515 0.197
Dy: 0.138 0.138 0.482
Dy: 0.862 0.518 0.862
Dy: 0.518 0.862 0.862
Dy: 0.862 0.862 0.518
Dy: 0.138 0.482 0.138
Dy: 0.482 0.138 0.138

SG = R-3m, No. 166

Which of them is least stable? Easy: arrangement 1.

Arrangement 1

Material: Pr3Nd6Dy
Method: DFT, PBE
State: optimized geometry

Lattice parameters (Å, degrees): 6.548 11.215 11.215 120.76 90.00 90.00
Sites, in units of the cell vectors:
Pr: 0.463 0.942 0.708
Pr: 0.963 0.708 0.942
Pr: 0.081 0.384 0.616
Pr: 0.581 0.616 0.384
Pr: 0.963 0.058 0.292
Pr: 0.463 0.292 0.058
Nd: 0.058 0.712 0.629
Nd: 0.558 0.629 0.712
Nd: 0.370 0.525 0.942
Nd: 0.870 0.942 0.525
Nd: 0.360 0.966 0.034
Nd: 0.651 0.277 0.723
Nd: 0.151 0.723 0.277
Nd: 0.860 0.034 0.966
Nd: 0.370 0.058 0.475
Nd: 0.870 0.475 0.058
Nd: 0.058 0.371 0.288
Nd: 0.558 0.288 0.371
Dy: 0.113 0.191 0.809
Dy: 0.613 0.809 0.191

SG = Cmc2_1, No. 36

Arrangement 2

Material: Pr3Nd6Dy
Method: DFT, PBE
State: optimized geometry

Lattice parameters (Å, degrees): 7.084 13.133 6.824 129.52 121.27 90.00
Sites, in units of the cell vectors:
Pr: 0.804 0.340 0.609
Pr: 0.196 0.660 0.391
Pr: 0.000 0.000 0.000
Nd: 0.286 0.312 0.115
Nd: 0.171 0.688 0.885
Nd: 0.714 0.688 0.885
Nd: 0.829 0.312 0.115
Nd: 0.332 0.993 0.663
Nd: 0.668 0.007 0.337
Dy: 0.500 0.500 0.000

SG = C2/m, No. 12

Which of them is least stable? Easy: arrangement 2.

Arrangement 1

Material: Pr8Nd2Dy3
Method: DFT, PBE
State: optimized geometry

Lattice parameters (Å, degrees): 6.200 11.932 9.029 131.36 72.42 90.00
Sites, in units of the cell vectors:
Pr: 0.762 0.416 0.832
Pr: 0.238 0.584 0.168
Pr: 0.101 0.861 0.723
Pr: 0.899 0.139 0.277
Pr: 0.342 0.923 0.326
Pr: 0.342 0.402 0.326
Pr: 0.658 0.598 0.674
Pr: 0.658 0.077 0.674
Nd: 0.658 0.691 0.382
Nd: 0.342 0.309 0.618
Dy: 0.500 0.000 0.000
Dy: 0.000 0.265 0.000
Dy: 0.000 0.735 0.000

SG = C2/m, No. 12

Arrangement 2

Material: Pr8Nd2Dy3
Method: DFT, PBE
State: optimized geometry

Lattice parameters (Å, degrees): 5.781 7.761 11.127 110.37 90.00 90.00
Sites, in units of the cell vectors:
Pr: 0.000 0.671 0.343
Pr: 0.000 0.329 0.657
Pr: 0.000 0.130 0.260
Pr: 0.000 0.870 0.740
Pr: 0.500 0.600 0.793
Pr: 0.500 0.191 0.792
Pr: 0.500 0.809 0.208
Pr: 0.500 0.400 0.207
Nd: 0.500 0.241 0.480
Nd: 0.500 0.759 0.520
Dy: 0.500 0.000 0.000
Dy: 0.000 0.284 0.000
Dy: 0.000 0.716 0.000

SG = P2/m, No. 10

Which of them is least stable? Easy: arrangement 2.